Entry 1:
Computed, not measured: a relaxed AcNiBr6 crystal at the PBE-GGA level of DFT.

Cell: 6.5936 6.6320 7.3240 Å, 67.97 63.55 65.05°
Closest atoms and distances in Å follow each position.
Space group P-1 (No. 2)
Inequivalent atoms, fractional coordinates:
Ac1 0.0000 0.0000 0.0000 x1  6 Br 3.02-3.13
Ni1 0.5000 0.5000 0.5000 x1  6 Br 2.41-2.67
Br1 0.1126 0.4584 0.7265 x2  1 Ni 2.41
Br2 0.2916 0.8832 0.2684 x2  1 Ni 2.67
Br3 0.4702 0.7154 0.7178 x2  1 Ni 2.41

Output
Formation energy without anion corrections (eV/atom): -0.9989

=====

Entry 2:
Computed, not measured: a relaxed Li2PPt crystal at the PBE-GGA level of DFT.

Cell: 4.9021 7.9131 2.7662 Å, 90.00 90.00 90.00°
Closest atoms and distances in Å follow each position.
Space group Cmmm (No. 65)
Inequivalent atoms, fractional coordinates:
Li1 0.2500 0.2500 0.0000 x4  2 Li 2.45, 4 Pt 2.71, 4 P 2.71
P1 0.0000 0.0000 0.5000 x2  2 Pt 2.45, 8 Li 2.71
Pt1 0.0000 0.5000 0.5000 x2  2 P 2.45, 8 Li 2.71

Output
Calculated formation energy (eV/atom): -0.561

=====

Entry 3:
Computed, not measured: a relaxed YTiTlAg crystal at the PBE-GGA level of DFT.

Cell: 7.1111 7.1111 7.1111 Å, 90.00 90.00 90.00°
Closest atoms and distances in Å follow each position.
Space group F-43m (No. 216)
Inequivalent atoms, fractional coordinates:
Y1 0.0000 0.0000 0.0000 x4  4 Tl 3.08, 4 Ag 3.08
Ti1 0.0000 0.0000 0.5000 x4  4 Ag 3.08, 4 Tl 3.08
Tl1 0.2500 0.2500 0.2500 x4  4 Ti 3.08, 4 Y 3.08
Ag1 0.2500 0.2500 0.7500 x4  4 Ti 3.08, 4 Y 3.08

Output
Calculated formation energy (eV/atom): -0.066

=====

Entry 4:
Computed, not measured: a relaxed CePrNO crystal at the PBE-GGA level of DFT.

Cell: 3.5785 3.5785 5.1332 Å, 90.00 90.00 90.00°
Closest atoms and distances in Å follow each position.
Space group P4/mmm (No. 123)
Inequivalent atoms, fractional coordinates:
Ce1 0.0000 0.0000 0.0000 x1  4 N 2.53, 2 O 2.57
Pr1 0.5000 0.5000 0.5000 x1  4 O 2.53, 2 N 2.57
N1 0.5000 0.5000 0.0000 x1  4 Ce 2.53, 2 Pr 2.57
O1 0.0000 0.0000 0.5000 x1  4 Pr 2.53, 2 Ce 2.57

Output
Formation energy without anion corrections (eV/atom): -2.1431

=====

Entry 5:
Computed, not measured: a relaxed Ac8AlIn3I4 crystal at the PBE-GGA level of DFT.

Cell: 16.5658 9.7595 9.6002 Å, 90.00 124.32 90.00°
Closest atoms and distances in Å follow each position.
Space group C2/m (No. 12)
Inequivalent atoms, fractional coordinates:
Ac1 0.0080 0.2454 0.2372 x8  1 Al 3.26, 2 In 3.32, 3 I 3.53-3.60
Ac2 0.2375 0.0000 0.2538 x4  1 Al 3.26, 2 In 3.32, 3 I 3.54-3.59
Ac3 0.2424 0.5000 0.2580 x4  3 In 3.32, 3 I 3.53
Al1 0.0000 0.0000 0.0000 x2  6 Ac 3.26
In1 0.0000 0.5000 0.0000 x2  6 Ac 3.32
In2 0.2500 0.2500 0.5000 x4  6 Ac 3.32
I1 0.0000 0.0000 0.5000 x2  6 Ac 3.53-3.54
I2 0.0000 0.5000 0.5000 x2  6 Ac 3.59-3.60
I3 0.2500 0.2500 0.0000 x4  6 Ac 3.53-3.54

Output
Formation energy without anion corrections (eV/atom): -0.6324

=====

Entry 6:
Computed, not measured: a relaxed YTaIn2 crystal at the PBE-GGA level of DFT.

Cell: 3.1260 4.4178 6.4995 Å, 90.00 90.08 90.00°
Closest atoms and distances in Å follow each position.
Space group P2/m (No. 10)
Inequivalent atoms, fractional coordinates:
Y1 0.0000 0.0000 0.0000 x1  2 Y 3.13, 8 In 3.23-3.24, 2 Ta 3.25
Ta1 0.0000 0.0000 0.5000 x1  8 In 3.08, 2 Ta 3.13, 2 Y 3.25
In1 0.5000 0.5000 0.2726 x2  3 In 2.96-3.13, 4 Ta 3.08, 4 Y 3.23-3.24

Output
Calculated formation energy (eV/atom): -0.025

=====

Entry 7:
Computed, not measured: a relaxed Pm3Zn3Au2 crystal at the PBE-GGA level of DFT.

Cell: 4.5893 10.5805 15.1440 Å, 90.00 90.00 90.00°
Closest atoms and distances in Å follow each position.
Space group Cmcm (No. 63)
Inequivalent atoms, fractional coordinates:
Pm1 0.0000 0.0983 0.1026 x8  4 Au 3.12-3.31, 7 Zn 3.17-3.29
Pm2 0.0000 0.3679 0.2500 x4  5 Zn 3.03-3.22, 4 Au 3.25
Zn1 0.0000 0.3460 0.7500 x4  2 Au 2.71, 1 Pm 3.03
Zn2 0.0000 0.3932 0.0412 x8  1 Zn 2.58, 2 Au 2.67
Au1 0.0000 0.1967 0.6050 x8  3 Zn 2.67-2.71

Output
Calculated formation energy (eV/atom): -0.551

=====

Entry 8:
Computed, not measured: a relaxed CsSeF6 crystal at the PBE-GGA level of DFT.

Cell: 7.1830 8.1180 5.3996 Å, 90.00 100.64 90.00°
Closest atoms and distances in Å follow each position.
Space group C2/m (No. 12)
Inequivalent atoms, fractional coordinates:
Cs1 0.0000 0.0000 0.0000 x2  12 F 3.18-3.35
Se1 0.0000 0.5000 0.5000 x2  6 F 1.86
F1 0.0801 0.3393 0.7411 x8  1 Se 1.86
F2 0.2400 0.5000 0.4180 x4  1 Se 1.86

Output
Formation energy without anion corrections (eV/atom): -1.9960

=====

no.,calculated volume (Å³ per atom)
1,31.62
2,13.41
3,22.47
4,16.43
5,40.06
6,22.44
7,22.98
8,19.34